Crystalline SnSbTe2 at its relaxed geometry, computed with PBE.

abc: 4.459 4.459 6.477
angles: 90.00 90.00 90.00
Sites, in units of the cell vectors:
Sn 0.000 0.000 0.000
Sb 0.500 0.500 0.500
Te 0.000 0.000 0.500
Te 0.500 0.500 0.000

Properties
* crystal system: tetragonal
* energy: -3.716 eV/atom
* total magnetic moment: 0.00 μB per cell
* formation energy without anion corrections: -0.114 eV per atom
* space-group type: P4/mmm, No. 123

Crystalline SnSbTe3 at its relaxed geometry, computed with PBE.

abc: 7.382 4.310 10.573
angles: 90.00 91.06 90.00
Sites, in units of the cell vectors:
Sn 0.087 0.250 0.189
Sn 0.913 0.750 0.811
Sb 0.409 0.250 0.808
Sb 0.591 0.750 0.192
Te 0.072 0.250 0.647
Te 0.253 0.750 0.000
Te 0.428 0.250 0.353
Te 0.572 0.750 0.647
Te 0.747 0.250 0.000
Te 0.928 0.750 0.353

Properties
* crystal system: monoclinic
* energy: -3.666 eV/atom
* total magnetic moment: 0.00 μB per cell
* formation energy without anion corrections: -0.156 eV per atom
* space-group type: P2_1/m, No. 11

Crystalline Sn2Sb2Te at its relaxed geometry, computed with PBE.

abc: 4.312 4.312 16.465
angles: 90.00 90.00 90.00
Sites, in units of the cell vectors:
Sn 0.000 0.000 0.096
Sn 0.000 0.000 0.904
Sn 0.500 0.500 0.404
Sn 0.500 0.500 0.596
Sb 0.000 0.500 0.250
Sb 0.000 0.500 0.750
Sb 0.500 0.000 0.250
Sb 0.500 0.000 0.750
Te 0.000 0.000 0.500
Te 0.500 0.500 0.000

Properties
* crystal system: tetragonal
* energy: -3.838 eV/atom
* total magnetic moment: 0.00 μB per cell
* formation energy without anion corrections: 0.040 eV per atom
* space-group type: I4/mmm, No. 139

Crystalline SnSb3Te at its relaxed geometry, computed with PBE.

abc: 5.710 5.710 5.710
angles: 90.00 90.00 90.00
Sites, in units of the cell vectors:
Sn 0.000 0.000 0.000
Sb 0.000 0.500 0.500
Sb 0.500 0.000 0.500
Sb 0.500 0.500 0.000
Te 0.500 0.500 0.500

Properties
* crystal system: cubic
* energy: -3.128 eV/atom
* total magnetic moment: 0.00 μB per cell
* formation energy without anion corrections: 0.774 eV per atom
* space-group type: Pm-3m, No. 221

Crystalline SnSb2Te4 at its relaxed geometry, computed with PBE.

abc: 14.560 14.560 14.560
angles: 17.30 17.30 17.30
Sites, in units of the cell vectors:
Sn 0.000 0.000 0.000
Sb 0.424 0.424 0.424
Sb 0.576 0.576 0.576
Te 0.129 0.129 0.129
Te 0.289 0.289 0.289
Te 0.711 0.711 0.711
Te 0.871 0.871 0.871

Properties
* crystal system: trigonal
* energy: -3.725 eV/atom
* total magnetic moment: 0.00 μB per cell
* formation energy without anion corrections: -0.180 eV per atom
* space-group type: R-3m, No. 166

Crystalline SnSb2Te at its relaxed geometry, computed with PBE.

abc: 4.415 4.415 21.574
angles: 90.00 90.00 120.00
Sites, in units of the cell vectors:
Sn 0.000 0.000 0.000
Sn 0.333 0.667 0.667
Sn 0.667 0.333 0.333
Sb 0.000 0.000 0.255
Sb 0.000 0.000 0.745
Sb 0.333 0.667 0.412
Sb 0.333 0.667 0.921
Sb 0.667 0.333 0.079
Sb 0.667 0.333 0.588
Te 0.000 0.000 0.500
Te 0.333 0.667 0.167
Te 0.667 0.333 0.833

Properties
* crystal system: trigonal
* energy: -3.826 eV/atom
* total magnetic moment: 0.00 μB per cell
* formation energy without anion corrections: 0.022 eV per atom
* space-group type: R-3m, No. 166

Crystalline Sn2Sb2Te at its relaxed geometry, computed with PBE.

abc: 8.627 8.627 3.946
angles: 90.00 90.00 90.00
Sites, in units of the cell vectors:
Sn 0.142 0.358 0.000
Sn 0.358 0.858 0.000
Sn 0.642 0.142 0.000
Sn 0.858 0.642 0.000
Sb 0.162 0.662 0.500
Sb 0.338 0.162 0.500
Sb 0.662 0.838 0.500
Sb 0.838 0.338 0.500
Te 0.000 0.000 0.500
Te 0.500 0.500 0.500

Properties
* crystal system: tetragonal
* energy: -3.758 eV/atom
* total magnetic moment: 0.00 μB per cell
* formation energy without anion corrections: 0.121 eV per atom
* space-group type: P4/mbm, No. 127

Crystalline SnSbTe2 at its relaxed geometry, computed with PBE.

abc: 7.692 7.692 7.692
angles: 90.00 90.00 90.00
Sites, in units of the cell vectors:
Sn 0.000 0.000 0.000
Sn 0.000 0.500 0.500
Sn 0.500 0.000 0.500
Sn 0.500 0.500 0.000
Sb 0.000 0.000 0.500
Sb 0.000 0.500 0.000
Sb 0.500 0.000 0.000
Sb 0.500 0.500 0.500
Te 0.250 0.250 0.250
Te 0.250 0.250 0.750
Te 0.250 0.750 0.250
Te 0.250 0.750 0.750
Te 0.750 0.250 0.250
Te 0.750 0.250 0.750
Te 0.750 0.750 0.250
Te 0.750 0.750 0.750

Properties
* crystal system: cubic
* energy: -3.532 eV/atom
* total magnetic moment: 0.00 μB per cell
* formation energy without anion corrections: 0.070 eV per atom
* space-group type: Fm-3m, No. 225

Crystalline SnSb2Te at its relaxed geometry, computed with PBE.

abc: 7.754 7.754 9.600
angles: 90.00 90.00 90.00
Sites, in units of the cell vectors:
Sn 0.000 0.000 0.000
Sn 0.000 0.500 0.250
Sn 0.500 0.000 0.750
Sn 0.500 0.500 0.500
Sb 0.236 0.250 0.125
Sb 0.250 0.736 0.375
Sb 0.250 0.764 0.875
Sb 0.264 0.250 0.625
Sb 0.736 0.750 0.625
Sb 0.750 0.236 0.875
Sb 0.750 0.264 0.375
Sb 0.764 0.750 0.125
Te 0.000 0.000 0.500
Te 0.000 0.500 0.750
Te 0.500 0.000 0.250
Te 0.500 0.500 0.000

Properties
* crystal system: tetragonal
* energy: -3.625 eV/atom
* total magnetic moment: 0.00 μB per cell
* formation energy without anion corrections: 0.222 eV per atom
* space-group type: I-42d, No. 122

Crystalline Sn7Sb5Te at its relaxed geometry, computed with PBE.

abc: 7.497 7.497 25.576
angles: 90.00 90.00 145.75
Sites, in units of the cell vectors:
Sn 0.038 0.962 0.500
Sn 0.139 0.861 0.217
Sn 0.139 0.861 0.782
Sn 0.322 0.678 0.436
Sn 0.323 0.677 0.564
Sn 0.410 0.590 0.142
Sn 0.411 0.589 0.857
Sn 0.589 0.411 0.357
Sn 0.590 0.410 0.642
Sn 0.677 0.323 0.064
Sn 0.678 0.322 0.936
Sn 0.861 0.139 0.282
Sn 0.861 0.139 0.717
Sn 0.962 0.038 0.000
Sb 0.052 0.948 0.104
Sb 0.052 0.948 0.896
Sb 0.229 0.771 0.329
Sb 0.230 0.770 0.671
Sb 0.500 0.500 0.250
Sb 0.500 0.500 0.750
Sb 0.770 0.230 0.171
Sb 0.771 0.229 0.829
Sb 0.948 0.052 0.396
Sb 0.948 0.052 0.604
Te 0.322 0.678 0.001
Te 0.678 0.322 0.501

Properties
* crystal system: orthorhombic
* energy: -3.990 eV/atom
* total magnetic moment: 0.00 μB per cell
* formation energy without anion corrections: -0.008 eV per atom
* space-group type: Cmc2_1, No. 36

Crystalline SnSbTe3 at its relaxed geometry, computed with PBE.

abc: 5.726 5.726 5.726
angles: 90.00 90.00 90.00
Sites, in units of the cell vectors:
Sn 0.000 0.000 0.000
Sb 0.500 0.500 0.500
Te 0.000 0.500 0.500
Te 0.500 0.000 0.500
Te 0.500 0.500 0.000

Properties
* crystal system: cubic
* energy: -3.122 eV/atom
* total magnetic moment: 0.00 μB per cell
* formation energy without anion corrections: 0.388 eV per atom
* space-group type: Pm-3m, No. 221

Crystalline Th6Sn2Sb3Te at its relaxed geometry, computed with PBE.

abc: 10.099 10.099 9.006
angles: 102.99 102.99 25.86
Sites, in units of the cell vectors:
Th 0.001 0.001 0.254
Th 0.331 0.331 0.914
Th 0.332 0.332 0.418
Th 0.668 0.668 0.582
Th 0.669 0.669 0.086
Th 0.999 0.999 0.746
Sn 0.166 0.166 0.331
Sn 0.834 0.834 0.669
Sb 0.165 0.165 0.832
Sb 0.500 0.500 0.500
Sb 0.835 0.835 0.168
Te 0.500 0.500 0.000

Properties
* crystal system: monoclinic
* energy: -6.473 eV/atom
* total magnetic moment: 0.00 μB per cell
* formation energy without anion corrections: -0.804 eV per atom
* space-group type: C2/m, No. 12

Crystalline Th4SnSbTe2 at its relaxed geometry, computed with PBE.

abc: 7.701 4.540 7.839
angles: 90.00 110.00 90.00
Sites, in units of the cell vectors:
Th 0.245 0.000 0.247
Th 0.245 0.500 0.750
Th 0.755 0.000 0.753
Th 0.755 0.500 0.250
Sn 0.000 0.500 0.000
Sb 0.000 0.000 0.500
Te 0.500 0.000 0.000
Te 0.500 0.500 0.500

Properties
* crystal system: monoclinic
* energy: -6.395 eV/atom
* total magnetic moment: 0.00 μB per cell
* formation energy without anion corrections: -0.884 eV per atom
* space-group type: P2/m, No. 10

Crystalline TiSnSbTe2 at its relaxed geometry, computed with PBE.

abc: 5.649 5.649 5.563
angles: 90.00 90.00 90.00
Sites, in units of the cell vectors:
Ti 0.000 0.000 0.000
Sn 0.500 0.500 0.500
Sb 0.500 0.500 0.000
Te 0.000 0.500 0.500
Te 0.500 0.000 0.500

Properties
* crystal system: tetragonal
* energy: -3.638 eV/atom
* total magnetic moment: 1.53 μB per cell
* formation energy without anion corrections: 0.823 eV per atom
* space-group type: P4/mmm, No. 123

Crystalline TiSnSb2Te at its relaxed geometry, computed with PBE.

abc: 5.333 5.333 5.292
angles: 90.00 90.00 90.00
Sites, in units of the cell vectors:
Ti 0.000 0.000 0.000
Sn 0.500 0.500 0.500
Sb 0.000 0.500 0.000
Sb 0.500 0.000 0.000
Te 0.000 0.000 0.500

Properties
* crystal system: tetragonal
* energy: -4.529 eV/atom
* total magnetic moment: 0.00 μB per cell
* formation energy without anion corrections: 0.127 eV per atom
* space-group type: P4/mmm, No. 123

Crystalline TiSnSbTe2 at its relaxed geometry, computed with PBE.

abc: 5.331 5.331 5.373
angles: 90.00 90.00 90.00
Sites, in units of the cell vectors:
Ti 0.000 0.000 0.000
Sn 0.500 0.500 0.500
Sb 0.000 0.000 0.500
Te 0.000 0.500 0.000
Te 0.500 0.000 0.000

Properties
* crystal system: tetragonal
* energy: -4.431 eV/atom
* total magnetic moment: 0.00 μB per cell
* formation energy without anion corrections: 0.029 eV per atom
* space-group type: P4/mmm, No. 123

Crystalline TiSnSb2Te at its relaxed geometry, computed with PBE.

abc: 5.541 5.541 5.613
angles: 90.00 90.00 90.00
Sites, in units of the cell vectors:
Ti 0.000 0.000 0.000
Sn 0.500 0.500 0.500
Sb 0.000 0.500 0.500
Sb 0.500 0.000 0.500
Te 0.500 0.500 0.000

Properties
* crystal system: tetragonal
* energy: -3.619 eV/atom
* total magnetic moment: 0.10 μB per cell
* formation energy without anion corrections: 1.038 eV per atom
* space-group type: P4/mmm, No. 123

Crystalline TlSn2SbTe4 at its relaxed geometry, computed with PBE.

abc: 7.819 4.507 7.903
angles: 90.00 109.00 90.00
Sites, in units of the cell vectors:
Tl 0.000 0.000 0.000
Sn 0.500 0.000 0.500
Sn 0.500 0.500 0.000
Sb 0.000 0.500 0.500
Te 0.250 0.000 0.740
Te 0.259 0.500 0.263
Te 0.741 0.500 0.737
Te 0.750 0.000 0.260

Properties
* crystal system: monoclinic
* energy: -3.596 eV/atom
* total magnetic moment: 0.00 μB per cell
* formation energy without anion corrections: -0.214 eV per atom
* space-group type: P2/m, No. 10

Crystalline TlSnSb2Te at its relaxed geometry, computed with PBE.

abc: 5.655 5.655 5.798
angles: 90.00 90.00 90.00
Sites, in units of the cell vectors:
Tl 0.000 0.000 0.000
Sn 0.500 0.500 0.500
Sb 0.000 0.500 0.000
Sb 0.500 0.000 0.000
Te 0.000 0.000 0.500

Properties
* crystal system: tetragonal
* energy: -2.790 eV/atom
* total magnetic moment: 0.00 μB per cell
* formation energy without anion corrections: 0.761 eV per atom
* space-group type: P4/mmm, No. 123

Crystalline TlSnSb2Te at its relaxed geometry, computed with PBE.

abc: 5.710 5.710 5.830
angles: 90.00 90.00 90.00
Sites, in units of the cell vectors:
Tl 0.000 0.000 0.000
Sn 0.500 0.500 0.500
Sb 0.000 0.500 0.500
Sb 0.500 0.000 0.500
Te 0.500 0.500 0.000

Properties
* crystal system: tetragonal
* energy: -3.101 eV/atom
* total magnetic moment: 0.01 μB per cell
* formation energy without anion corrections: 0.450 eV per atom
* space-group type: P4/mmm, No. 123